Entry 1:
TbMnCu | GGA-PBE | optimized geometry

Lattice parameters (Å, degrees): 4.720 4.720 5.690 90.00 90.00 115.14
Fractional positions:
Tb 0.157 0.843 0.750
Tb 0.843 0.157 0.250
Mn 0.500 0.500 0.000
Mn 0.500 0.500 0.500
Cu 0.199 0.801 0.250
Cu 0.801 0.199 0.750

Total energy ... -5.87 eV/atom
Formation energy from the elements ... 94 meV per atom
SG ... No. 63
DOS(E_F) ... 2.0 states/eV/f.u.

=====

Entry 2:
LiDyAlCd | GGA-PBE | optimized geometry

Lattice parameters (Å, degrees): 4.858 4.858 4.858 60.00 60.00 60.00
Fractional positions:
Li 0.000 0.000 0.000
Dy 0.750 0.750 0.750
Al 0.500 0.500 0.500
Cd 0.250 0.250 0.250

Total energy ... -3.03 eV/atom
Formation energy from the elements ... -238 meV per atom
SG ... No. 216
DOS(E_F) ... 1.9 states/eV/f.u.